# 1
! In2PW | Alexandria via LeMat-Bulk | PBE-GGA | optimized geometry; values from VASP
&SYSTEM
  ibrav = 0, nat = 4, ntyp = 3
/
ATOMIC_SPECIES
In 114.82 In.upf
P 30.97 P.upf
W 183.84 W.upf
ATOMIC_POSITIONS angstrom
In 0.0000 0.0000 0.0000
In 0.0000 2.1066 2.1418
P 2.1066 0.0000 2.1418
W 0.0000 0.0000 4.2835
CELL_PARAMETERS angstrom
-2.1066 2.1066 4.2835
2.1066 -2.1066 4.2835
2.1066 2.1066 -4.2835
! M_tot, μB/cell: 1.4
! Raw total energy, eV per atom: -5.207
! Space group: I-4m2

=====

# 2
! TbCePm2Tm4 | Alexandria via LeMat-Bulk | PBE-GGA | optimized geometry; values from VASP
&SYSTEM
  ibrav = 0, nat = 8, ntyp = 4
/
ATOMIC_SPECIES
Tb 158.93 Tb.upf
Ce 140.12 Ce.upf
Pm 145.00 Pm.upf
Tm 168.93 Tm.upf
ATOMIC_POSITIONS angstrom
Tb 0.0000 0.0000 0.0000
Ce -1.0271 1.7713 5.7388
Pm 2.0435 0.0000 5.7388
Pm 3.0706 1.7713 0.0000
Tm -0.0260 0.0000 8.5868
Tm 1.0002 1.7713 2.8711
Tm 3.0868 1.7713 8.6064
Tm 4.1130 0.0000 2.8907
CELL_PARAMETERS angstrom
6.1412 0.0000 0.0000
0.0000 3.5426 0.0000
-2.0542 0.0000 11.4775
! M_tot, μB/cell: 0.8
! Raw total energy, eV per atom: -4.702
! Space group: P2/m

=====

# 3
! Gd2HoLu | Alexandria via LeMat-Bulk | PBE-GGA | optimized geometry; values from VASP
&SYSTEM
  ibrav = 0, nat = 4, ntyp = 3
/
ATOMIC_SPECIES
Gd 157.25 Gd.upf
Ho 164.93 Ho.upf
Lu 174.97 Lu.upf
ATOMIC_POSITIONS angstrom
Gd 0.0000 2.5018 0.0000
Gd 2.5018 0.0000 0.0000
Ho 0.0000 0.0000 2.4885
Lu 2.5018 2.5018 2.4885
CELL_PARAMETERS angstrom
5.0036 0.0000 0.0000
0.0000 5.0036 0.0000
0.0000 0.0000 4.9769
! M_tot, μB/cell: 14.6
! Distance to the lowest polymorph of the same formula, meV/atom: 0
! Space group: P4/mmm

=====

# 4
! B2CS | Alexandria via LeMat-Bulk | PBE-GGA | optimized geometry; values from VASP
&SYSTEM
  ibrav = 0, nat = 4, ntyp = 3
/
ATOMIC_SPECIES
B 10.81 B.upf
C 12.01 C.upf
S 32.06 S.upf
ATOMIC_POSITIONS angstrom
B 0.0000 0.0000 0.0000
B -1.9823 0.0000 2.6867
C 2.2778 0.0000 2.6389
S 3.5093 0.0000 1.2111
CELL_PARAMETERS angstrom
3.4573 -1.4421 0.0000
3.4573 1.4421 0.0000
-3.4087 0.0000 3.7554
! M_tot, μB/cell: 0.0
! Uncorrected formation energy, eV per atom: 0.1428
! Distance to the lowest polymorph of the same formula, meV/atom: 305
! Space group: Cm

=====

# 5
! Ba2AcGa6 | Alexandria via LeMat-Bulk | PBE-GGA | optimized geometry; values from VASP
&SYSTEM
  ibrav = 0, nat = 9, ntyp = 3
/
ATOMIC_SPECIES
Ba 137.33 Ba.upf
Ac 227.00 Ac.upf
Ga 69.72 Ga.upf
ATOMIC_POSITIONS angstrom
Ba 0.0000 0.0000 1.7894
Ba 0.0000 0.0000 11.3867
Ac 0.0000 5.3224 0.0000
Ga 1.8286 3.2053 -2.3691
Ga 1.8286 2.2679 0.0000
Ga 1.8286 3.2053 2.3691
Ga 0.0000 2.1170 4.2189
Ga 0.0000 3.0545 6.5880
Ga 0.0000 2.1170 8.9572
CELL_PARAMETERS angstrom
-1.8286 5.3224 6.5880
1.8286 -5.3224 6.5880
1.8286 5.3224 -6.5880
! M_tot, μB/cell: 0.0
! Raw total energy, eV per atom: -3.156
! Space group: Immm

=====

# 6
! Nd6Dy2Ho3 | Alexandria via LeMat-Bulk | PBE-GGA | optimized geometry; values from VASP
&SYSTEM
  ibrav = 0, nat = 11, ntyp = 3
/
ATOMIC_SPECIES
Nd 144.24 Nd.upf
Dy 162.50 Dy.upf
Ho 164.93 Ho.upf
ATOMIC_POSITIONS angstrom
Nd 2.3837 0.0000 4.0799
Nd 0.0000 0.0000 6.9274
Nd 2.3837 0.0000 12.8882
Nd 0.0000 2.3837 4.0799
Nd 0.0000 0.0000 27.0088
Nd 0.0000 2.3837 12.8882
Dy 0.0000 0.0000 1.5277
Dy 0.0000 0.0000 32.4085
Ho 0.0000 0.0000 10.3505
Ho 0.0000 0.0000 16.9681
Ho 0.0000 0.0000 23.5857
CELL_PARAMETERS angstrom
-2.3837 2.3837 16.9681
2.3837 -2.3837 16.9681
2.3837 2.3837 -16.9681
! M_tot, μB/cell: 0.0
! Distance to the lowest polymorph of the same formula, meV/atom: 180
! Space group: I4/mmm

=====

> Number 4 is which compound?

B2CS